Record 1
A plane-wave DFT calculation with GGA-PBE was carried out for crystalline NaSrAg3 at its relaxed geometry.

Cell lengths 5.211, 5.211, 5.211 Å; angles 90.00, 90.00, 90.00 degrees
Positions (direct):
1 Ag 0.000 0.000 0.500
2 Na 0.000 0.000 0.000
3 Ag 0.500 0.000 0.000
4 Sr 0.500 0.500 0.500
5 Ag 0.000 0.500 0.000

Calculated values
Symmetry: Pm-3m (221)
D(E_F) (states/eV/cell): 1.61
V (A^3/atom): 28.3
VASP energy (eV/atom): -2.10



Record 2
A plane-wave DFT calculation with GGA-PBE was carried out for crystalline LiEr2In2 at its relaxed geometry.

Cell lengths 6.066, 6.244, 7.868 Å; angles 113.38, 112.68, 90.00 degrees
Positions (direct):
1 Er 0.819 0.526 0.639
2 In 0.420 0.743 0.839
3 Er 0.319 0.113 0.639
4 Er 0.681 0.887 0.361
5 In 0.580 0.257 0.161
6 In 0.920 0.096 0.839
7 Li 0.250 0.500 0.000
8 In 0.080 0.904 0.161
9 Li 0.750 0.500 0.000
10 Er 0.181 0.474 0.361

Calculated values
Symmetry: Ibam (72)
D(E_F) (states/eV/cell): 10.68
V (A^3/atom): 24.8
VASP energy (eV/atom): -3.50



Record 3
A plane-wave DFT calculation with GGA-PBE was carried out for crystalline YBSe2 at its relaxed geometry.

Cell lengths 7.706, 7.706, 7.706 Å; angles 29.69, 29.69, 29.69 degrees
Positions (direct):
1 Y 0.500 0.500 0.500
2 Se 0.915 0.915 0.915
3 Se 0.085 0.085 0.085
4 B 0.000 0.000 0.000

Calculated values
Symmetry: R-3m (166)
D(E_F) (states/eV/cell): 0.13
V (A^3/atom): 24.8
VASP energy (eV/atom): -5.28
Energy relative to the elements, uncorrected (eV/atom): -0.257



Record 4
A plane-wave DFT calculation with GGA-PBE was carried out for crystalline Li3Sc3GeS8 at its relaxed geometry.

Cell lengths 7.332, 7.332, 7.443 Å; angles 119.52, 90.00, 120.00 degrees
Positions (direct):
1 S 0.254 0.508 0.262
2 S 0.765 0.003 0.268
3 Li 0.500 0.500 0.000
4 Sc 0.500 0.500 0.500
5 Li 0.000 0.000 0.000
6 S 0.235 0.470 0.732
7 S 0.762 0.997 0.732
8 S 0.235 0.997 0.732
9 Ge 0.000 0.000 0.500
10 Sc 0.500 0.000 0.500
11 S 0.238 0.003 0.268
12 S 0.765 0.530 0.268
13 Sc 0.000 0.500 0.500
14 S 0.746 0.492 0.738
15 Li 0.000 0.500 0.000

Calculated values
Symmetry: R-3m (166)
D(E_F) (states/eV/cell): 1.31
V (A^3/atom): 19.0
VASP energy (eV/atom): -5.59
Energy relative to the elements, uncorrected (eV/atom): -1.431



Record 5
A plane-wave DFT calculation with GGA-PBE was carried out for crystalline TbDy6Er3 at its relaxed geometry.

Cell lengths 6.141, 10.889, 10.889 Å; angles 119.76, 90.00, 90.00 degrees
Positions (direct):
1 Er 0.572 0.611 0.389
2 Dy 0.034 0.381 0.290
3 Dy 0.862 0.462 0.042
4 Er 0.956 0.062 0.280
5 Dy 0.362 0.042 0.462
6 Dy 0.534 0.619 0.710
7 Dy 0.534 0.290 0.381
8 Dy 0.862 0.958 0.538
9 Er 0.956 0.720 0.938
10 Dy 0.644 0.283 0.717
11 Dy 0.144 0.717 0.283
12 Dy 0.362 0.538 0.958
13 Tb 0.648 0.793 0.207
14 Tb 0.148 0.207 0.793
15 Dy 0.918 0.047 0.953
16 Dy 0.034 0.710 0.619
17 Er 0.456 0.938 0.720
18 Er 0.456 0.280 0.062
19 Er 0.072 0.389 0.611
20 Dy 0.418 0.953 0.047

Calculated values
Symmetry: Cmc2_1 (36)
D(E_F) (states/eV/cell): 28.05
V (A^3/atom): 31.6
VASP energy (eV/atom): -4.44



Record 6
A plane-wave DFT calculation with GGA-PBE was carried out for crystalline RbFeBr3 at its relaxed geometry.

Cell lengths 5.045, 5.045, 7.553 Å; angles 109.51, 109.51, 90.00 degrees
Positions (direct):
1 Br 0.714 0.214 0.429
2 Br 0.214 0.714 0.429
3 Br 0.482 0.482 0.963
4 Fe 0.665 0.665 0.330
5 Rb 0.015 0.015 0.029

Calculated values
Symmetry: I4mm (107)
D(E_F) (states/eV/cell): 6.77
V (A^3/atom): 33.9
VASP energy (eV/atom): -3.75
Energy relative to the elements, uncorrected (eV/atom): -0.858



Record 7
A plane-wave DFT calculation with GGA-PBE was carried out for crystalline RuPbSe3 at its relaxed geometry.

Cell lengths 4.966, 4.966, 4.966 Å; angles 90.00, 90.00, 90.00 degrees
Positions (direct):
1 Pb 0.500 0.500 0.500
2 Se 0.500 0.000 0.000
3 Se 0.000 0.000 0.500
4 Ru 0.000 0.000 0.000
5 Se 0.000 0.500 0.000

Calculated values
Symmetry: Pm-3m (221)
D(E_F) (states/eV/cell): 5.36
V (A^3/atom): 24.5
VASP energy (eV/atom): -4.56
Energy relative to the elements, uncorrected (eV/atom): 0.130



Record 8
A plane-wave DFT calculation with GGA-PBE was carried out for crystalline NpInGa at its relaxed geometry.

Cell lengths 6.283, 6.283, 5.703 Å; angles 62.99, 62.99, 42.53 degrees
Positions (direct):
1 Ga 0.653 0.653 0.846
2 Ga 0.347 0.347 0.154
3 In 0.685 0.685 0.315
4 In 0.315 0.315 0.685
5 Np 0.000 0.000 0.753
6 Np 0.000 0.000 0.247

Calculated values
Symmetry: Immm (71)
D(E_F) (states/eV/cell): 11.60
V (A^3/atom): 22.1
VASP energy (eV/atom): -6.26



Record 9
A plane-wave DFT calculation with GGA-PBE was carried out for crystalline FeTcGe at its relaxed geometry.

Cell lengths 2.661, 4.252, 8.345 Å; angles 90.00, 99.17, 90.00 degrees
Positions (direct):
1 Tc 0.694 0.750 0.389
2 Ge 0.546 0.250 0.091
3 Fe 0.170 0.250 0.341
4 Fe 0.830 0.750 0.659
5 Tc 0.306 0.250 0.611
6 Ge 0.454 0.750 0.909

Calculated values
Symmetry: Cmcm (63)
D(E_F) (states/eV/cell): 5.11
V (A^3/atom): 15.5
VASP energy (eV/atom): -7.49



Record 10
A plane-wave DFT calculation with GGA-PBE was carried out for crystalline Ca3CoCu at its relaxed geometry.

Cell lengths 5.249, 5.249, 5.249 Å; angles 90.00, 90.00, 90.00 degrees
Positions (direct):
1 Ca 0.000 0.500 0.000
2 Ca 0.500 0.000 0.000
3 Cu 0.500 0.500 0.500
4 Ca 0.000 0.000 0.500
5 Co 0.000 0.000 0.000

Calculated values
Symmetry: Pm-3m (221)
D(E_F) (states/eV/cell): 4.21
V (A^3/atom): 28.9
VASP energy (eV/atom): -3.09



Record 11
A plane-wave DFT calculation with GGA-PBE was carried out for crystalline BiPb4N2 at its relaxed geometry.

Cell lengths 3.522, 3.543, 15.170 Å; angles 96.76, 87.94, 89.95 degrees
Positions (direct):
1 Pb 0.763 0.308 0.607
2 Bi 0.000 0.500 0.000
3 N 0.241 0.143 0.295
4 Pb 0.237 0.692 0.393
5 Pb 0.239 0.903 0.805
6 Pb 0.761 0.097 0.195
7 N 0.759 0.857 0.705

Calculated values
Symmetry: P-1 (2)
D(E_F) (states/eV/cell): 3.53
V (A^3/atom): 26.8
VASP energy (eV/atom): -4.66
Energy relative to the elements, uncorrected (eV/atom): 0.390